DFT (meta-GGA SCAN) results for Ce2MgIn at its PBEsol-relaxed geometry.

Values from the calculation:
**Calculated formation energy**: -234 meV/atom

Lattice parameters (Å, degrees): 7.548 7.548 7.548 90.00 90.00 90.00
Space group Fm-3m (No. 225)
Inequivalent atoms, fractional coordinates:
Ce: 0.250 0.250 0.250 [8 per cell]
Mg: 0.000 0.000 0.000 [4 per cell]
In: 0.000 0.000 0.500 [4 per cell]


DFT (meta-GGA SCAN) results for Ce2InNi2 at its PBEsol-relaxed geometry.

Values from the calculation:
**Calculated formation energy**: -470 meV/atom

Lattice parameters (Å, degrees): 7.401 7.401 3.574 90.00 90.00 90.00
Space group P4/mbm (No. 127)
Inequivalent atoms, fractional coordinates:
Ce: 0.172 0.328 0.000 [4 per cell]
In: 0.000 0.000 0.500 [2 per cell]
Ni: 0.126 0.626 0.500 [4 per cell]


DFT (meta-GGA SCAN) results for CeInNi4 at its PBEsol-relaxed geometry.

Values from the calculation:
**Calculated formation energy**: -333 meV/atom

Lattice parameters (Å, degrees): 6.985 6.985 6.985 90.00 90.00 90.00
Space group F-43m (No. 216)
Inequivalent atoms, fractional coordinates:
Ce: 0.000 0.000 0.000 [4 per cell]
In: 0.250 0.250 0.750 [4 per cell]
Ni: 0.124 0.124 0.376 [16 per cell]


Question: Among the records above, which one has the highest calculated formation energy?
Answer: Ce2MgIn


Please write out number 2 again, unchanged.
DFT (meta-GGA SCAN) results for Ce2InNi2 at its PBEsol-relaxed geometry.

Values from the calculation:
**Calculated formation energy**: -470 meV/atom

Lattice parameters (Å, degrees): 7.401 7.401 3.574 90.00 90.00 90.00
Space group P4/mbm (No. 127)
Inequivalent atoms, fractional coordinates:
Ce: 0.172 0.328 0.000 [4 per cell]
In: 0.000 0.000 0.500 [2 per cell]
Ni: 0.126 0.626 0.500 [4 per cell]